Entry 1:
# HfBe2Pt | OQMD | PBE | optimized geometry
data_HfBe2Pt
_chemical_formula_sum 'Hf4 Be8 Pt4'
_cell_length_a 6.066
_cell_length_b 6.066
_cell_length_c 6.066
_cell_angle_alpha 90.00
_cell_angle_beta 90.00
_cell_angle_gamma 90.00
_symmetry_space_group_name_H-M 'P 1'
_symmetry_Int_Tables_number 1
loop_
_symmetry_equiv_pos_as_xyz
'x,y,z'
loop_
_atom_site_label
_atom_site_type_symbol
_atom_site_fract_x
_atom_site_fract_y
_atom_site_fract_z
Hf1 Hf 0.000 0.000 0.000
Hf2 Hf 0.000 0.500 0.500
Hf3 Hf 0.500 0.000 0.500
Hf4 Hf 0.500 0.500 0.000
Be1 Be 0.000 0.000 0.500
Be2 Be 0.000 0.500 0.000
Be3 Be 0.250 0.250 0.250
Be4 Be 0.250 0.750 0.750
Be5 Be 0.500 0.000 0.000
Be6 Be 0.500 0.500 0.500
Be7 Be 0.750 0.250 0.750
Be8 Be 0.750 0.750 0.250
Pt1 Pt 0.250 0.250 0.750
Pt2 Pt 0.250 0.750 0.250
Pt3 Pt 0.750 0.250 0.250
Pt4 Pt 0.750 0.750 0.750
# Raw total energy in eV/atom: -6.284
# Theoretical density in g/cm3: 11.65
# SG: F-43m (216)
# M_tot in Bohr magnetons per cell: 0.00

Entry 2:
# HfBe2Pt2 | OQMD | PBE | optimized geometry
data_HfBe2Pt2
_chemical_formula_sum 'Hf2 Be4 Pt4'
_cell_length_a 7.022
_cell_length_b 7.022
_cell_length_c 2.746
_cell_angle_alpha 90.00
_cell_angle_beta 90.00
_cell_angle_gamma 90.00
_symmetry_space_group_name_H-M 'P 1'
_symmetry_Int_Tables_number 1
loop_
_symmetry_equiv_pos_as_xyz
'x,y,z'
loop_
_atom_site_label
_atom_site_type_symbol
_atom_site_fract_x
_atom_site_fract_y
_atom_site_fract_z
Hf1 Hf 0.000 0.000 0.000
Hf2 Hf 0.500 0.500 0.000
Be1 Be 0.115 0.385 0.000
Be2 Be 0.385 0.885 0.000
Be3 Be 0.615 0.115 0.000
Be4 Be 0.885 0.615 0.000
Pt1 Pt 0.176 0.676 0.500
Pt2 Pt 0.324 0.176 0.500
Pt3 Pt 0.676 0.824 0.500
Pt4 Pt 0.824 0.324 0.500
# E above lowest polymorph in eV per formula unit: 0.00
# Theoretical density in g/cm3: 14.39
# SG: P4/mbm (127)
# M_tot in Bohr magnetons per cell: 0.01

Entry 3:
# HfBe3Pt2 | OQMD | PBE | optimized geometry
data_HfBe3Pt2
_chemical_formula_sum 'Hf1 Be3 Pt2'
_cell_length_a 2.929
_cell_length_b 2.929
_cell_length_c 8.890
_cell_angle_alpha 90.00
_cell_angle_beta 90.00
_cell_angle_gamma 90.00
_symmetry_space_group_name_H-M 'P 1'
_symmetry_Int_Tables_number 1
loop_
_symmetry_equiv_pos_as_xyz
'x,y,z'
loop_
_atom_site_label
_atom_site_type_symbol
_atom_site_fract_x
_atom_site_fract_y
_atom_site_fract_z
Hf1 Hf 0.000 0.000 0.000
Be1 Be 0.000 0.000 0.372
Be2 Be 0.500 0.500 0.507
Be3 Be 0.500 0.500 0.791
Pt1 Pt 0.000 0.000 0.647
Pt2 Pt 0.500 0.500 0.235
# Raw total energy in eV/atom: -6.100
# Theoretical density in g/cm3: 12.97
# SG: P4mm (99)
# M_tot in Bohr magnetons per cell: 0.02